1.
Density functional theory data (meta-GGA SCAN) for a PBEsol-optimized structure of K2LaTl.

total moment: 1.0 μB/f.u.
formation enthalpy at 0 K: 0.02 eV/atom

Geometry as POSCAR:
```
K2LaTl
1.0
4.1586 0.0000 0.0000
0.0000 5.4973 0.0000
0.0000 0.0000 6.6164
K La Tl
2 1 1
Direct
0.0000 0.0000 0.0000
0.5000 0.5000 0.0000
0.0000 0.5000 0.5000
0.5000 0.0000 0.5000
```

=====

2.
Density functional theory data (meta-GGA SCAN) for a PBEsol-optimized structure of Zr3RuBr.

total moment: 0.0 μB/f.u.
distance to the lowest polymorph of the same formula: 0.0 meV/atom
formation energy from raw total energies: 0.199 eV per atom

Geometry as POSCAR:
```
Zr3RuBr
1.0
4.9918 0.0000 0.0000
0.0000 4.9918 0.0000
0.0000 0.0000 4.9918
Zr Ru Br
3 1 1
Direct
0.0000 0.0000 0.5000
0.0000 0.5000 0.0000
0.5000 0.0000 0.0000
0.0000 0.0000 0.0000
0.5000 0.5000 0.5000
```

=====

3.
Density functional theory data (meta-GGA SCAN) for a PBEsol-optimized structure of HfInH.

E_tot: -2.46884 Ry per atom
total moment: 0.0 μB/f.u.

Geometry as POSCAR:
```
HfInH
1.0
3.3223 0.0000 0.0000
-1.6611 2.8772 0.0000
0.0000 0.0000 4.7826
Hf In H
1 1 1
Direct
0.0000 0.0000 0.0000
0.3333 0.6667 0.5000
0.6667 0.3333 0.0000
```

=====

Q: What is the total moment in the third record?
A: 0.0 μB/f.u.

=====

What did the second record say?
Density functional theory data (meta-GGA SCAN) for a PBEsol-optimized structure of Zr3RuBr.

total moment: 0.0 μB/f.u.
distance to the lowest polymorph of the same formula: 0.0 meV/atom
formation energy from raw total energies: 0.199 eV per atom

Geometry as POSCAR:
```
Zr3RuBr
1.0
4.9918 0.0000 0.0000
0.0000 4.9918 0.0000
0.0000 0.0000 4.9918
Zr Ru Br
3 1 1
Direct
0.0000 0.0000 0.5000
0.0000 0.5000 0.0000
0.5000 0.0000 0.0000
0.0000 0.0000 0.0000
0.5000 0.5000 0.5000
```

=====

Please write out number 2 again, unchanged.
Density functional theory data (meta-GGA SCAN) for a PBEsol-optimized structure of Zr3RuBr.

total moment: 0.0 μB/f.u.
distance to the lowest polymorph of the same formula: 0.0 meV/atom
formation energy from raw total energies: 0.199 eV per atom

Geometry as POSCAR:
```
Zr3RuBr
1.0
4.9918 0.0000 0.0000
0.0000 4.9918 0.0000
0.0000 0.0000 4.9918
Zr Ru Br
3 1 1
Direct
0.0000 0.0000 0.5000
0.0000 0.5000 0.0000
0.5000 0.0000 0.0000
0.0000 0.0000 0.0000
0.5000 0.5000 0.5000
```

=====

Q: What is the total moment in the second record?
A: 0.0 μB/f.u.